Entry 1:
A plane-wave DFT calculation with PBE was carried out for a relaxed TbPmThCd crystal.

Results
Symmetry   F-43m, No. 216
E   -17.43 eV/cell
Polymorph energy (0 for the lowest one)   0.2381 eV/atom
Energy relative to the elements   6.79 kJ per mole of atoms

Cell lengths 5.518, 5.518, 5.518 Å; angles 60.00, 60.00, 60.00 degrees
Positions (direct):
Tb (0.000, 0.000, 0.000)
Pm (0.750, 0.750, 0.750)
Th (0.500, 0.500, 0.500)
Cd (0.250, 0.250, 0.250)



Entry 2:
A plane-wave DFT calculation with PBE was carried out for a relaxed Tb8NdIn2 crystal.

Results
Symmetry   C2/m, No. 12
E   -47.87 eV/cell
Energy relative to the elements   -5.10 kJ per mole of atoms

Cell lengths 8.643, 8.643, 6.524 Å; angles 98.94, 98.94, 46.01 degrees
Positions (direct):
Tb (0.086, 0.086, 0.400)
Tb (0.141, 0.663, 0.086)
Tb (0.286, 0.286, 0.682)
Tb (0.337, 0.859, 0.914)
Tb (0.663, 0.141, 0.086)
Tb (0.714, 0.714, 0.318)
Tb (0.859, 0.337, 0.914)
Tb (0.914, 0.914, 0.600)
Nd (0.500, 0.500, 0.500)
In (0.253, 0.253, 0.190)
In (0.747, 0.747, 0.810)



Entry 3:
A plane-wave DFT calculation with PBE was carried out for a relaxed Tb2Nd5YSc crystal.

Results
Symmetry   Cmc2_1, No. 36
E   -89.55 eV/cell
Energy relative to the elements   12.01 kJ per mole of atoms

Cell lengths 11.323, 11.323, 10.239 Å; angles 90.00, 90.00, 152.43 degrees
Positions (direct):
Tb (0.116, 0.884, 0.500)
Tb (0.116, 0.884, 0.998)
Tb (0.884, 0.116, 0.000)
Tb (0.884, 0.116, 0.498)
Nd (0.001, 0.999, 0.249)
Nd (0.278, 0.722, 0.062)
Nd (0.278, 0.722, 0.438)
Nd (0.373, 0.627, 0.749)
Nd (0.500, 0.500, 0.499)
Nd (0.500, 0.500, 0.999)
Nd (0.627, 0.373, 0.249)
Nd (0.722, 0.278, 0.562)
Nd (0.722, 0.278, 0.938)
Nd (0.999, 0.001, 0.749)
Y (0.398, 0.602, 0.249)
Y (0.602, 0.398, 0.749)
Sc (0.213, 0.787, 0.750)
Sc (0.787, 0.213, 0.250)



Entry 4:
A plane-wave DFT calculation with PBE was carried out for a relaxed LiLaSi2Au2 crystal.

Results
Formation energy without anion corrections   -3.80 eV/f.u.
Symmetry   P-3m1, No. 164
E   -28.04 eV/cell

Cell lengths 4.340, 4.340, 7.066 Å; angles 90.00, 90.00, 120.00 degrees
Positions (direct):
Li (0.000, 0.000, 0.000)
La (0.000, 0.000, 0.500)
Si (0.333, 0.667, 0.212)
Si (0.667, 0.333, 0.788)
Au (0.333, 0.667, 0.821)
Au (0.667, 0.333, 0.179)



Entry 5:
A plane-wave DFT calculation with PBE was carried out for a relaxed La2Tb2Pr crystal.

Results
Symmetry   P6_3/mmc, No. 194
E   -45.81 eV/cell
Polymorph energy (0 for the lowest one)   0.0000 eV/atom
Energy relative to the elements   19.06 kJ per mole of atoms

Cell lengths 5.793, 5.793, 12.298 Å; angles 90.00, 90.00, 120.00 degrees
Positions (direct):
La (0.333, 0.667, 0.102)
La (0.333, 0.667, 0.398)
La (0.667, 0.333, 0.602)
La (0.667, 0.333, 0.898)
Tb (0.000, 0.000, 0.000)
Tb (0.000, 0.000, 0.500)
Tb (0.333, 0.667, 0.750)
Tb (0.667, 0.333, 0.250)
Pr (0.000, 0.000, 0.250)
Pr (0.000, 0.000, 0.750)



Entry 6:
A plane-wave DFT calculation with PBE was carried out for a relaxed SmBe4Au12 crystal.

Results
Symmetry   Im-3, No. 204
E   -61.05 eV/cell
Energy relative to the elements   -11.89 kJ per mole of atoms

Cell lengths 7.339, 7.339, 7.339 Å; angles 109.47, 109.47, 109.47 degrees
Positions (direct):
Sm (0.000, 0.000, 0.000)
Be (0.000, 0.000, 0.500)
Be (0.000, 0.500, 0.000)
Be (0.500, 0.000, 0.000)
Be (0.500, 0.500, 0.500)
Au (0.162, 0.829, 0.332)
Au (0.171, 0.332, 0.503)
Au (0.171, 0.668, 0.838)
Au (0.332, 0.162, 0.829)
Au (0.332, 0.503, 0.171)
Au (0.497, 0.829, 0.668)
Au (0.503, 0.171, 0.332)
Au (0.668, 0.497, 0.829)
Au (0.668, 0.838, 0.171)
Au (0.829, 0.332, 0.162)
Au (0.829, 0.668, 0.497)
Au (0.838, 0.171, 0.668)